<i>
! Sb2P2C (PBE, relaxed); values from VASP
! Total magnetic moment, μB/f.u.: 0.00
! DOS at the Fermi energy, states/eV per cell: 1.6
! V, A^3/atom: 19.110
! Crystal system: tetragonal
&SYSTEM
  ibrav = 0, nat = 5, ntyp = 3
/
ATOMIC_SPECIES
Sb 121.76 Sb.upf
C 12.01 C.upf
P 30.97 P.upf
CELL_PARAMETERS angstrom
-2.763 1.711 0.046
-1.517 -2.489 1.437
0.064 2.951 8.855
ATOMIC_POSITIONS crystal
Sb 0.422 0.422 0.157
Sb 0.578 0.578 0.843
C 0.000 0.000 0.000
P 0.750 0.250 0.500
P 0.250 0.750 0.500

<ii>
! Sb2P2C (PBE, relaxed); values from VASP
! Total magnetic moment, μB/f.u.: 0.00
! DOS at the Fermi energy, states/eV per cell: 4.7
! V, A^3/atom: 22.395
! Crystal system: tetragonal
&SYSTEM
  ibrav = 0, nat = 10, ntyp = 3
/
ATOMIC_SPECIES
Sb 121.76 Sb.upf
C 12.01 C.upf
P 30.97 P.upf
CELL_PARAMETERS angstrom
6.378 0.000 0.000
0.000 6.378 0.000
0.000 0.000 5.504
ATOMIC_POSITIONS crystal
Sb 0.178 0.678 0.000
Sb 0.678 0.822 0.000
Sb 0.822 0.322 0.000
Sb 0.322 0.178 0.000
C 0.000 0.000 0.000
C 0.500 0.500 0.000
P 0.113 0.613 0.500
P 0.613 0.887 0.500
P 0.887 0.387 0.500
P 0.387 0.113 0.500

Which structure is most stable? <i>, by 18 meV/atom over the runner-up.